Model one:
Material: V3TeW
Method: DFT, GGA-PBE
State: optimized geometry

Summary:
**Density**: 7.4 Mg/m³

a b c (Å): 4.709 4.709 4.709
angles (deg): 90.00 90.00 90.00
Positions (direct):
V  0.000  0.000  0.500
V  0.000  0.500  0.000
V  0.500  0.000  0.000
Te  0.000  0.000  0.000
W  0.500  0.500  0.500

Model two:
Material: V3TeW
Method: DFT, GGA-PBE
State: optimized geometry

Summary:
**Density**: 7.6 Mg/m³

a b c (Å): 4.667 4.667 4.667
angles (deg): 90.00 90.00 90.00
Positions (direct):
V  0.000  0.000  0.500
V  0.000  0.500  0.000
V  0.500  0.000  0.000
Te  0.500  0.500  0.500
W  0.000  0.000  0.000

Stability ranking, top and bottom: model two is the most stable and model one is the least stable.

Model one:
Material: VTeW3
Method: DFT, GGA-PBE
State: optimized geometry

Summary:
**Density**: 12.2 Mg/m³

a b c (Å): 4.635 4.635 4.635
angles (deg): 90.00 90.00 90.00
Positions (direct):
V  0.000  0.000  0.000
Te  0.500  0.500  0.500
W  0.000  0.000  0.500
W  0.000  0.500  0.000
W  0.500  0.000  0.000

Model two:
Material: VTeW3
Method: DFT, GGA-PBE
State: optimized geometry

Summary:
**Density**: 10.6 Mg/m³

a b c (Å): 4.850 4.850 4.850
angles (deg): 90.00 90.00 90.00
Positions (direct):
V  0.000  0.000  0.000
Te  0.500  0.500  0.500
W  0.000  0.500  0.500
W  0.500  0.000  0.500
W  0.500  0.500  0.000

Stability ranking, top and bottom: model one is the most stable and model two is the least stable.